Here is crystalline KBi3Au3 at its relaxed geometry from Alexandria. Energies are from PBE.

Cell: 8.2563 8.2563 20.8459 Å, 90.00 90.00 120.00°
Space group R-3m (No. 166, hexagonal axes)
Unique sites:
K1 0.0000 0.0000 0.0957
Bi1 0.0024 0.5012 0.0943
Au1 0.0751 0.5376 0.3330

Values from the calculation:
total DFT energy (no corrections) = -0.246 Ry/atom
relative energy among the computed polymorphs = 0 meV/atom
ΔE_f = -0.13 eV per atom
volume = 205.10 Å³/f.u.

=====

Here is crystalline Sr2HgAs at its relaxed geometry from Alexandria. Energies are from PBE.

Cell: 4.6251 4.6251 23.0214 Å, 90.00 90.00 120.00°
Space group R3m (No. 160, hexagonal axes)
Unique sites:
Sr1 0.0000 0.0000 0.0000
Sr2 0.0000 0.0000 0.1969
Hg1 0.0000 0.0000 0.4342
As1 0.0000 0.0000 0.5961

Values from the calculation:
total DFT energy (no corrections) = -0.214 Ry/atom
relative energy among the computed polymorphs = 0 meV/atom
ΔE_f = -0.83 eV per atom
volume = 142.16 Å³/f.u.

=====

Here is crystalline Ce2FeBi at its relaxed geometry from Alexandria. Energies are from PBE.

Cell: 3.7223 3.7223 28.8402 Å, 90.00 90.00 120.00°
Space group R-3m (No. 166, hexagonal axes)
Unique sites:
Ce1 0.0000 0.0000 0.1145
Fe1 0.0000 0.0000 0.5000
Bi1 0.0000 0.0000 0.0000

Values from the calculation:
total DFT energy (no corrections) = -0.441 Ry/atom
ΔE_f = 0.05 eV per atom
volume = 115.35 Å³/f.u.

=====

Question: The lowest ΔE_f belongs to which entry?
Answer: Sr2HgAs

=====

Question: What is the volume in the second record?
Answer: 142.16 Å³/f.u.

=====

Question: Among the records above, which one has the lowest volume?
Answer: Ce2FeBi

=====

Question: Among the records above, which one has the highest volume?
Answer: KBi3Au3